[1]
Below is a geometry-optimized La2Cu4Ge3Pt structure, with properties calculated at the PBE-GGA level.

Lattice parameters (Å, degrees): 4.2832 4.2832 10.0429 90.00 90.00 90.00
Last column: nearest neighbours and their distance in Å.
Fractional coordinates of all 10 atoms:
Cu 0.0000 0.0000 0.0000  4 Ge 2.49
La 0.0000 0.5000 0.7501  8 Cu 3.24-3.30, 6 Ge 3.27-3.30, 2 Pt 3.30
Pt 0.5000 0.5000 0.5000  4 Cu 2.54
Cu 0.5000 0.5000 0.0000  4 Ge 2.49
Cu 0.5000 0.0000 0.6356  3 Ge 2.39-2.54, 2 Pt 2.54
Ge 0.0000 0.0000 0.5000  4 Cu 2.54
Ge 0.0000 0.5000 0.1260  5 Cu 2.39-2.49
La 0.5000 0.0000 0.2499  8 Cu 3.24-3.30, 6 Ge 3.27-3.30, 2 Pt 3.30
Cu 0.0000 0.5000 0.3644  3 Ge 2.39-2.54, 2 Pt 2.54
Ge 0.5000 0.0000 0.8740  5 Cu 2.39-2.49

Output
- VASP energy: -5.157 eV per atom
- Total magnetic moment: 0.00 μB/f.u.
- Formation enthalpy at 0 K: -0.544 eV/atom

=====

[2]
Below is a geometry-optimized LiZrCd2 structure, with properties calculated at the PBE-GGA level.

Lattice parameters (Å, degrees): 10.8584 10.8584 10.8584 16.02 16.02 16.02
Last column: nearest neighbours and their distance in Å.
Fractional coordinates of all 4 atoms:
Zr 0.7512 0.7512 0.7512  6 Zr 3.03, 3 Cd 3.20, 3 Li 3.24
Li 0.5026 0.5026 0.5026  3 Cd 3.00, 6 Li 3.03, 3 Zr 3.24
Cd 0.2450 0.2450 0.2450  3 Li 3.00, 6 Cd 3.03
Cd 0.0013 0.0013 0.0013  9 Cd 3.03-3.37, 3 Zr 3.20

Output
- VASP energy: -3.078 eV per atom
- E above lowest polymorph: 166.9 meV per atom
- Total magnetic moment: 0.00 μB/f.u.
- Formation enthalpy at 0 K: -0.005 eV/atom